A plane-wave DFT calculation with PBE was carried out for crystalline Sm7TmCd2 at its relaxed geometry.

Cell and atoms, written as CIF:
```
data_Sm7TmCd2
_cell_length_a 9.000
_cell_length_b 16.153
_cell_length_c 5.273
_cell_angle_alpha 90.00
_cell_angle_beta 90.00
_cell_angle_gamma 90.00
_symmetry_space_group_name_H-M 'C m m m'
_symmetry_Int_Tables_number 65
_symmetry_space_group_name_Hall '-C 2 2'
loop_
_atom_site_label
_atom_site_type_symbol
_atom_site_fract_x
_atom_site_fract_y
_atom_site_fract_z
Sm1 Sm 0.000 0.000 0.000
Sm2 Sm 0.000 0.280 0.500
Sm3 Sm 0.183 0.384 0.000
Tm1 Tm 0.000 0.500 0.500
Cd1 Cd 0.000 0.196 0.000
```

- ΔH_f (0 K): 0.391 eV per atom

A plane-wave DFT calculation with PBE was carried out for crystalline Sm3Tm2Cd at its relaxed geometry.

Cell and atoms, written as CIF:
```
data_Sm3Tm2Cd
_cell_length_a 3.602
_cell_length_b 3.602
_cell_length_c 14.150
_cell_angle_alpha 90.00
_cell_angle_beta 90.00
_cell_angle_gamma 90.00
_symmetry_space_group_name_H-M 'P 4/m m m'
_symmetry_Int_Tables_number 123
_symmetry_space_group_name_Hall '-P 4 2'
loop_
_atom_site_label
_atom_site_type_symbol
_atom_site_fract_x
_atom_site_fract_y
_atom_site_fract_z
Sm1 Sm 0.000 0.000 0.000
Sm2 Sm 0.000 0.000 0.350
Tm1 Tm 0.500 0.500 0.174
Cd1 Cd 0.500 0.500 0.500
```

- ΔH_f (0 K): -0.082 eV per atom
- Excess energy over the best structure of this formula in the dataset: 0 meV/atom